[1]
DFT (GGA-PBE) results for crystalline LaEuMg2 at its relaxed geometry.

Properties
Energy of formation in meV per atom: -102
Uncorrected energy in eV per cell: -18.8
Space-group type: P4/mmm (123)
Spin magnetization in Bohr magnetons per cell: 7.45

a = 5.620 Å, b = 5.620 Å, c = 4.022 Å
α = 90.00°, β = 90.00°, γ = 90.00°
Sites, in units of the cell vectors:
La 0.000 0.000 0.000
Eu 0.500 0.500 0.000
Mg 0.000 0.500 0.500
Mg 0.500 0.000 0.500

[2]
DFT (GGA-PBE) results for crystalline LaEuMg at its relaxed geometry.

Properties
Energy of formation in meV per atom: 35
Uncorrected energy in eV per cell: -16.7
Space-group type: P3m1 (156)
Spin magnetization in Bohr magnetons per cell: 7.37

a = 5.709 Å, b = 5.709 Å, c = 3.526 Å
α = 90.00°, β = 90.00°, γ = 120.00°
Sites, in units of the cell vectors:
La 0.000 0.000 0.000
Eu 0.667 0.333 0.618
Mg 0.333 0.667 0.352

[3]
DFT (GGA-PBE) results for crystalline LaNdEuMg at its relaxed geometry.

Properties
Energy of formation in meV per atom: 29
Uncorrected energy in eV per cell: -21.4
Space-group type: F-43m (216)
Spin magnetization in Bohr magnetons per cell: 7.22

a = 5.759 Å, b = 5.759 Å, c = 5.759 Å
α = 60.00°, β = 60.00°, γ = 60.00°
Sites, in units of the cell vectors:
La 0.000 0.000 0.000
Nd 0.500 0.500 0.500
Eu 0.750 0.750 0.750
Mg 0.250 0.250 0.250

[4]
DFT (GGA-PBE) results for crystalline LaEuMgPb at its relaxed geometry.

Properties
Energy of formation in meV per atom: -368
Uncorrected energy in eV per cell: -22.0
Space-group type: F-43m (216)
Spin magnetization in Bohr magnetons per cell: 7.84

a = 5.623 Å, b = 5.623 Å, c = 5.623 Å
α = 60.00°, β = 60.00°, γ = 60.00°
Sites, in units of the cell vectors:
La 0.000 0.000 0.000
Eu 0.500 0.500 0.500
Mg 0.750 0.750 0.750
Pb 0.250 0.250 0.250

- Which of these has the highest uncorrected energy?
  LaEuMg